Na2HfU2Se6 PBE relaxed; space-group type = C2/m, No. 12; crystal system = monoclinic; raw total energy = -69.491 eV for the cell shown; ΔE_f (raw) = -1.22 eV per atom; calculated volume = 27.2 Å³ per atom
1.0
3.4838 -5.9824 0.0000
3.4838 5.9824 0.0000
-2.3328 0.0000 7.1787
Na Hf U Se
2 1 2 6
direct
0.1698 0.8302 0.0000
0.8302 0.1698 0.0000
0.0000 0.0000 0.5000
0.3339 0.6661 0.5000
0.6661 0.3339 0.5000
0.0773 0.3932 0.7261
0.2387 0.2387 0.2739
0.3932 0.0773 0.7261
0.6068 0.9227 0.2739
0.7613 0.7613 0.7261
0.9227 0.6068 0.2739

Ni2WBr PBE relaxed; space-group type = Pm, No. 6; crystal system = monoclinic; raw total energy = -24.583 eV for the cell shown; ΔE_f (raw) = 0.40 eV per atom; calculated volume = 16.4 Å³ per atom
1.0
3.0432 0.0000 0.0000
0.0000 3.1241 0.0000
-0.0326 0.0000 6.9109
Ni W Br
2 1 1
direct
0.0000 0.0000 0.0000
0.4978 0.5000 0.8243
0.5019 0.5000 0.1819
0.5070 0.0000 0.4839

NaIn2CoGe PBE relaxed; space-group type = P4/mmm, No. 123; crystal system = tetragonal; raw total energy = -18.614 eV for the cell shown; energy relative to the elements = -0.019 eV/atom; calculated volume = 22.8 Å³ per atom
1.0
5.0185 0.0000 0.0000
0.0000 5.0185 0.0000
0.0000 0.0000 4.5326
Na In Co Ge
1 2 1 1
direct
0.0000 0.0000 0.0000
0.0000 0.5000 0.5000
0.5000 0.0000 0.5000
0.5000 0.5000 0.5000
0.5000 0.5000 0.0000

AlOs3Rh PBE relaxed; space-group type = Pm-3m, No. 221; crystal system = cubic; raw total energy = -36.193 eV for the cell shown; energy relative to the elements = 1.718 eV/atom; calculated volume = 16.6 Å³ per atom
1.0
4.3618 0.0000 0.0000
0.0000 4.3618 0.0000
0.0000 0.0000 4.3618
Al Os Rh
1 3 1
direct
0.0000 0.0000 0.0000
0.0000 0.0000 0.5000
0.0000 0.5000 0.0000
0.5000 0.0000 0.0000
0.5000 0.5000 0.5000

ZrW2Cl PBE relaxed; space-group type = Pm, No. 6; crystal system = monoclinic; raw total energy = -36.431 eV for the cell shown; ΔE_f (raw) = -0.03 eV per atom; calculated volume = 19.7 Å³ per atom
1.0
3.2272 0.0000 0.0000
0.0000 3.1807 0.0000
-0.0008 0.0000 7.6805
Zr W Cl
1 2 1
direct
0.0000 0.0000 0.0000
0.9998 0.0000 0.5842
0.5001 0.5000 0.7652
0.0024 0.5000 0.2877

CaMg2Tc PBE relaxed; space-group type = I-4m2, No. 119; crystal system = tetragonal; raw total energy = -13.999 eV for the cell shown; energy relative to the elements = 0.389 eV/atom; calculated volume = 20.9 Å³ per atom
1.0
-2.1902 2.1902 4.3612
2.1902 -2.1902 4.3612
2.1902 2.1902 -4.3612
Ca Mg Tc
1 2 1
direct
0.0000 0.0000 0.0000
0.2500 0.7500 0.5000
0.5000 0.5000 0.0000
0.7500 0.2500 0.5000